Entry from OQMD via LeMat-Bulk: a geometry-optimized U3PaS4 structure (PBE-GGA).

Calculated values
As for the total energy: -8.9162 eV per atom. The value obtained for the volume is 20.5 Å³/atom. As for the symmetry: Pm-3m.

CIF file:
```
data_U3PaS4
_chemical_formula_sum 'U3 Pa1 S4'
_cell_length_a 5.474
_cell_length_b 5.474
_cell_length_c 5.474
_cell_angle_alpha 90.00
_cell_angle_beta 90.00
_cell_angle_gamma 90.00
_symmetry_space_group_name_H-M 'P 1'
_symmetry_Int_Tables_number 1
loop_
_symmetry_equiv_pos_as_xyz
'x,y,z'
loop_
_atom_site_label
_atom_site_type_symbol
_atom_site_fract_x
_atom_site_fract_y
_atom_site_fract_z
_atom_site_occupancy
U1 U 0.000 0.000 0.500 1
U2 U 0.000 0.500 0.000 1
U3 U 0.500 0.000 0.000 1
Pa1 Pa 0.500 0.500 0.500 1
S1 S 0.000 0.000 0.000 1
S2 S 0.000 0.500 0.500 1
S3 S 0.500 0.000 0.500 1
S4 S 0.500 0.500 0.000 1
```